Entry 1:
Density functional theory data (PBE) for a geometry-optimized LaBe2Hg structure.

Lattice parameters (Å, degrees): 4.7228 4.7228 3.6278 90.00 90.00 90.00
Sites, in units of the cell vectors:
La 0.0000 0.0000 0.0000
Be 0.0000 0.5000 0.5000
Be 0.5000 0.0000 0.5000
Hg 0.5000 0.5000 0.0000

Properties
Magnetization ... 0.00 μB/atom
Raw total energy ... -2.74 eV per atom
Crystal system ... tetragonal
Space group ... P4/mmm, No. 123
DFT formation energy ... 41.6 kJ/mol of atoms
Density of states at the Fermi level ... 2.58 states/eV per cell

Entry 2:
Density functional theory data (PBE) for a geometry-optimized ZnPRu structure.

Lattice parameters (Å, degrees): 3.9255 3.9255 3.3050 90.00 90.00 120.00
Sites, in units of the cell vectors:
Zn 0.0000 0.0000 0.0000
P 0.3333 0.6667 0.5000
Ru 0.6667 0.3333 0.5000

Properties
Magnetization ... 0.00 μB/atom
Raw total energy ... -5.46 eV per atom
Crystal system ... hexagonal
Space group ... P-6m2, No. 187
DFT formation energy ... -13.4 kJ/mol of atoms
Density of states at the Fermi level ... 1.06 states/eV per cell

What did the first record say?
Density functional theory data (PBE) for a geometry-optimized LaBe2Hg structure.

Lattice parameters (Å, degrees): 4.7228 4.7228 3.6278 90.00 90.00 90.00
Sites, in units of the cell vectors:
La 0.0000 0.0000 0.0000
Be 0.0000 0.5000 0.5000
Be 0.5000 0.0000 0.5000
Hg 0.5000 0.5000 0.0000

Properties
Magnetization ... 0.00 μB/atom
Raw total energy ... -2.74 eV per atom
Crystal system ... tetragonal
Space group ... P4/mmm, No. 123
DFT formation energy ... 41.6 kJ/mol of atoms
Density of states at the Fermi level ... 2.58 states/eV per cell

Question: DFT formation energy of number 1 (LaBe2Hg)?
Answer: 41.6 kJ/mol of atoms